1.
Compound: Ho2CdHg3
Source: the Alexandria database
Functional: PBE-GGA
Structure: optimized geometry

Cell and atoms, written as extended XYZ:
```
12
Lattice="5.1214 0.0000 0.0000 0.0000 6.3037 0.0000 0.0000 0.0000 8.9957" Properties=species:S:1:pos:R:3 pbc="T T T"
Ho 0.0000 1.7991 6.0400
Ho 2.5607 4.5172 7.5364
Ho 0.0000 4.9510 2.9556
Ho 2.5607 1.3653 1.4593
Cd 2.5607 3.2032 4.4343
Cd 2.5607 0.0514 4.5613
Hg 0.0000 4.9274 5.9469
Hg 0.0000 6.2562 8.9422
Hg 2.5607 4.5118 1.5400
Hg 0.0000 1.7755 3.0488
Hg 0.0000 3.1043 0.0534
Hg 2.5607 1.3599 7.4557
```

Output
Mass density   11.9 g cm⁻³
Relative energy among the computed polymorphs   0 meV per atom
Calculated formation energy   -0.399 eV per atom



2.
Compound: Pr3As6Pd20
Source: the Alexandria database
Functional: PBE-GGA
Structure: optimized geometry

Cell and atoms, written as extended XYZ:
```
29
Lattice="-1.3480 5.2371 7.1436 -8.2883 1.1742 3.1938 -2.3347 -3.6403 7.8468" Properties=species:S:1:pos:R:3 pbc="T T T"
Pd -3.5373 1.1629 9.7173
Pd -5.6813 -0.6177 10.6181
Pd -5.3876 0.7633 2.0761
Pd -7.3690 1.7058 11.1938
Pd -0.4718 1.8328 2.5001
Pd -0.8171 -1.2740 2.7462
Pd -5.8594 2.5961 4.5762
Pd -6.7459 -0.7154 7.8913
Pd -4.4183 -1.9553 6.2184
Pd -1.5176 -2.3663 5.1006
Pd -3.7769 3.8152 5.7613
Pd -1.9894 -0.5334 7.6007
Pd -5.2251 3.4864 10.2930
Pd -8.4337 1.6081 8.4670
Pd -2.9007 0.4110 1.1178
Pd -4.6019 1.0652 6.9905
Pd -6.2897 3.3887 7.5662
Pd -1.6933 2.1302 7.3897
Pd -0.8762 3.4042 4.6435
Pd -6.2047 -0.5107 4.8223
As -7.7119 3.7621 9.6810
As -7.0744 1.2856 6.3030
As -3.7925 3.2068 8.1707
As -8.1785 -0.4358 10.0136
As -4.8965 1.4854 11.8813
As -4.2591 -0.9911 8.5033
Pr 0.0000 0.0000 0.0000
Pr -2.9927 0.6928 4.5461
Pr -8.9782 2.0783 13.6382
```

Output
Mass density   9.8 g cm⁻³
Calculated formation energy   -0.586 eV per atom



3.
Compound: Sm7Dy3Sc2
Source: the Alexandria database
Functional: PBE-GGA
Structure: optimized geometry

Cell and atoms, written as extended XYZ:
```
12
Lattice="6.3555 0.0000 1.3975 3.0241 5.5900 1.3975 0.8020 0.4780 11.5032" Properties=species:S:1:pos:R:3 pbc="T T T"
Sm 5.6283 5.2765 4.7050
Sm 2.8627 3.6283 9.5932
Sm 6.0882 3.6283 10.3025
Sm 7.3190 2.4396 4.7050
Sm 4.5534 0.7914 9.5932
Sm 5.0908 3.0340 7.1491
Sm 4.0935 2.4396 3.9957
Sc 6.2492 3.7243 1.8812
Sc 3.9325 2.3436 12.4170
Dy 0.0000 0.0000 0.0000
Dy 8.3230 4.9602 7.6004
Dy 1.8587 1.1077 6.6978
```

Output
Mass density   6.8 g cm⁻³
Relative energy among the computed polymorphs   172 meV per atom
Calculated formation energy   0.302 eV per atom



4.
Compound: Sc2TlCr2
Source: the Alexandria database
Functional: PBE-GGA
Structure: optimized geometry

Cell and atoms, written as extended XYZ:
```
5
Lattice="3.2552 0.0000 0.0000 0.0000 3.2552 0.0000 1.6276 1.6276 9.2280" Properties=species:S:1:pos:R:3 pbc="T T T"
Sc 1.6276 1.6276 2.2866
Sc 3.2552 3.2552 6.9415
Tl 0.0000 0.0000 0.0000
Cr 3.2552 1.6276 4.6140
Cr 1.6276 3.2552 4.6140
```

Output
Mass density   6.8 g cm⁻³
Relative energy among the computed polymorphs   53 meV per atom
Calculated formation energy   0.217 eV per atom



5.
Compound: TbCe2Dy
Source: the Alexandria database
Functional: PBE-GGA
Structure: optimized geometry

Cell and atoms, written as extended XYZ:
```
4
Lattice="3.4853 0.0000 0.0000 1.7427 3.0184 0.0000 1.7427 1.0061 11.5133" Properties=species:S:1:pos:R:3 pbc="T T T"
Tb 3.4853 2.0122 5.7567
Ce 5.2280 3.0184 8.6397
Ce 1.7427 1.0061 2.8736
Dy 0.0000 0.0000 0.0000
```

Output
Mass density   8.2 g cm⁻³
Relative energy among the computed polymorphs   0 meV per atom
Calculated formation energy   0.090 eV per atom



6.
Compound: MgInSi2
Source: the Alexandria database
Functional: PBE-GGA
Structure: optimized geometry

Cell and atoms, written as extended XYZ:
```
4
Lattice="-2.5028 -1.6923 -2.0865 0.5141 -3.1007 1.8981 -4.2977 1.6326 3.8310" Properties=species:S:1:pos:R:3 pbc="T T T"
Si -4.0925 1.5547 3.6482
Si -2.3540 0.8942 2.0984
In -2.0688 -1.9883 0.8636
Mg -4.2176 -1.1720 2.7791
```

Output
Mass density   4.0 g cm⁻³
ΔE_f (raw)   0.280 eV/atom
Relative energy among the computed polymorphs   98 meV per atom



Total moment: 0.00 0.00 0.00 0.00 1.54 0.00 (μB per cell)